First-principles (PBE-GGA) data for a relaxed structure of Th2VSi5, as listed in Alexandria via LeMat-Bulk.

The value obtained for the volume is 157 Å³ per cell. The value obtained for the uncorrected formation energy is -0.45 eV/atom.

```
8
Lattice="6.107 -0.106 -0.151 -3.099 5.263 0.151 -3.099 -1.649 5.001" Properties=species:S:1:pos:R:3 pbc="T T T"
Th 0.041 -0.024 3.641
Th 0.041 3.432 1.216
Si -3.032 0.327 3.532
Si -1.778 2.478 3.532
Si 1.820 0.953 1.358
Si -1.753 1.022 1.457
Si -3.032 3.210 1.509
V -0.060 0.035 0.050
```

First-principles (PBE-GGA) data for a relaxed structure of ThVSi2W, as listed in Alexandria via LeMat-Bulk.

The value obtained for the volume is 90 Å³ per cell. The value obtained for the uncorrected formation energy is -0.50 eV/atom.

```
5
Lattice="-1.401 3.734 0.303 -3.734 -1.366 -0.431 2.146 -1.795 5.651" Properties=species:S:1:pos:R:3 pbc="T T T"
Si -0.327 -0.475 4.342
Si -2.661 1.047 1.182
W -2.078 -0.989 2.578
Th 0.000 0.000 0.000
V -0.911 1.561 2.945
```

First-principles (PBE-GGA) data for a relaxed structure of ThSi2W, as listed in Alexandria via LeMat-Bulk.

The value obtained for the volume is 306 Å³ per cell. As for the offset from the most stable computed form: 0.000 eV per atom. The value obtained for the uncorrected formation energy is -0.49 eV/atom.

```
16
Lattice="-1.879 -0.508 3.395 1.317 -7.488 -0.391 8.835 1.289 5.081" Properties=species:S:1:pos:R:3 pbc="T T T"
W 4.368 -7.026 2.493
W 7.213 -3.039 6.919
W 1.061 -3.669 1.166
W 3.906 0.319 5.592
Si 8.707 -4.394 5.287
Si -0.433 -2.313 2.798
Si 3.150 -4.698 2.167
Si 3.403 -5.594 4.429
Si 5.124 -2.010 5.917
Si 1.419 -1.110 1.747
Si 6.855 -5.598 6.338
Si 4.871 -1.114 3.656
Th 5.962 -4.081 3.816
Th 0.904 -6.673 2.885
Th 7.370 -0.035 5.200
Th 2.311 -2.627 4.269
```

What is the volume in the third record? 306 Å³ per cell